1.
DFT (PBE-GGA) results for a relaxed LaCuMo2 crystal.

Cell: 4.0383 4.0383 10.3092 Å, 78.71 78.71 90.00°
Fractional positions:
Mo: 0.1893 0.6250 0.2500
La: 0.0000 0.0000 0.0000
Mo: 0.5607 0.1250 0.2500
Mo: 0.3750 0.4393 0.7500
Cu: 0.5000 0.5000 0.0000
Cu: 0.2500 0.7500 0.5000
La: 0.7500 0.2500 0.5000
Mo: 0.8750 0.8107 0.7500

total magnetic moment: 0.00 μB/f.u.
space group: No. 122
offset from the most stable computed form: 0.453 eV per atom

***

2.
DFT (PBE-GGA) results for a relaxed LaCuMo2 crystal.

Cell: 4.7148 4.7148 4.7148 Å, 60.00 60.00 60.00°
Fractional positions:
Mo: 0.2500 0.2500 0.2500
La: 0.7500 0.7500 0.7500
Mo: 0.0000 0.0000 0.0000
Cu: 0.5000 0.5000 0.5000

total magnetic moment: 0.04 μB/f.u.
space group: No. 216
offset from the most stable computed form: 0.227 eV per atom